Record 1
Density functional theory data (PBE-GGA) for crystalline Mn2RuPtN at its relaxed geometry.

a b c (Å): 3.997 3.997 3.951
angles (deg): 90.00 90.00 90.00
Fractional positions:
Mn (0.000, 0.500, 0.000)
Mn (0.500, 0.000, 0.000)
Ru (0.000, 0.000, 0.500)
Pt (0.500, 0.500, 0.500)
N (0.000, 0.000, 0.000)

Results
E_form (uncorrected) in meV per atom: -155
M_tot in μB/f.u.: 6.4
ρ in Mg/m³: 11.0
VASP energy in eV/atom: -8.55

Record 2
Density functional theory data (PBE-GGA) for crystalline Mn2PtSN at its relaxed geometry.

a b c (Å): 3.803 3.803 4.639
angles (deg): 90.00 90.00 90.00
Fractional positions:
Mn (0.000, 0.500, 0.000)
Mn (0.500, 0.000, 0.000)
Pt (0.000, 0.000, 0.500)
S (0.500, 0.500, 0.500)
N (0.500, 0.500, 0.000)

Results
E_form (uncorrected) in meV per atom: 230
M_tot in μB/f.u.: 6.5
ρ in Mg/m³: 8.7
VASP energy in eV/atom: -7.14

Record 3
Density functional theory data (PBE-GGA) for crystalline MnPtSe2N at its relaxed geometry.

a b c (Å): 5.236 5.236 3.672
angles (deg): 90.00 90.00 90.00
Fractional positions:
Mn (0.000, 0.000, 0.000)
Pt (0.500, 0.500, 0.500)
Se (0.000, 0.500, 0.500)
Se (0.500, 0.000, 0.500)
N (0.500, 0.500, 0.000)

Results
E above lowest polymorph in eV per formula unit: 1.02
E_form (uncorrected) in meV per atom: 578
M_tot in μB/f.u.: 4.7
ρ in Mg/m³: 7.0
VASP energy in eV/atom: -5.52

Record 4
Density functional theory data (PBE-GGA) for crystalline MnPtSe2N at its relaxed geometry.

a b c (Å): 4.860 4.860 3.405
angles (deg): 90.00 90.00 90.00
Fractional positions:
Mn (0.000, 0.000, 0.000)
Pt (0.500, 0.500, 0.500)
Se (0.000, 0.500, 0.000)
Se (0.500, 0.000, 0.000)
N (0.000, 0.000, 0.500)

Results
E above lowest polymorph in eV per formula unit: 0.00
E_form (uncorrected) in meV per atom: 374
M_tot in μB/f.u.: 0.9
ρ in Mg/m³: 8.7
VASP energy in eV/atom: -5.73